[1]
A geometry-optimized YZr2Ir structure, computed with PBE.

Summary:
- Space group: Cmmm (65)
- Offset from the most stable computed form: 398.3 meV per atom
- Magnetization: 0.00 μB per formula unit
- Formation enthalpy at 0 K: -0.0303 eV per atom

a b c (Å): 5.651 5.651 3.116
angles (deg): 90.00 90.00 120.85
Positions (direct):
Y 0.000 0.000 0.000
Zr 0.000 0.500 0.500
Zr 0.500 0.000 0.500
Ir 0.500 0.500 0.000

[2]
A geometry-optimized YZrIr2 structure, computed with PBE.

Summary:
- Space group: Imm2 (44)
- Magnetization: 0.00 μB per formula unit
- Formation enthalpy at 0 K: -0.5536 eV per atom

a b c (Å): 5.614 5.614 5.614
angles (deg): 140.72 136.17 60.31
Positions (direct):
Y 0.000 0.000 0.000
Zr 0.257 0.757 0.500
Ir 0.490 0.490 0.000
Ir 0.748 0.248 0.500

[3]
A geometry-optimized YZr2Ir structure, computed with PBE.

Summary:
- Space group: P4mm (99)
- Offset from the most stable computed form: 52.5 meV per atom
- Magnetization: 0.00 μB per formula unit
- Formation enthalpy at 0 K: -0.3760 eV per atom

a b c (Å): 3.396 3.396 7.756
angles (deg): 90.00 90.00 90.00
Positions (direct):
Y 0.000 0.000 0.000
Zr 0.000 0.000 0.575
Zr 0.500 0.500 0.312
Ir 0.500 0.500 0.764

[4]
A geometry-optimized Y2ZrIr3 structure, computed with PBE.

Summary:
- Space group: P-3m1 (164)
- Magnetization: 0.00 μB per formula unit
- Formation enthalpy at 0 K: -0.7727 eV per atom

a b c (Å): 4.782 4.782 5.930
angles (deg): 90.00 90.00 120.00
Positions (direct):
Y 0.333 0.667 0.163
Y 0.667 0.333 0.837
Zr 0.000 0.000 0.500
Ir 0.000 0.000 0.000
Ir 0.333 0.667 0.644
Ir 0.667 0.333 0.356

[5]
A geometry-optimized YZr2Ir2 structure, computed with PBE.

Summary:
- Space group: P4/mbm (127)
- Offset from the most stable computed form: 168.6 meV per atom
- Magnetization: 0.00 μB per formula unit
- Formation enthalpy at 0 K: -0.5756 eV per atom

a b c (Å): 8.110 8.110 3.052
angles (deg): 90.00 90.00 90.00
Positions (direct):
Y 0.000 0.000 0.000
Y 0.500 0.500 0.000
Zr 0.142 0.358 0.000
Zr 0.358 0.858 0.000
Zr 0.642 0.142 0.000
Zr 0.858 0.642 0.000
Ir 0.154 0.654 0.500
Ir 0.346 0.154 0.500
Ir 0.654 0.846 0.500
Ir 0.846 0.346 0.500

[6]
A geometry-optimized YZr2Ir structure, computed with PBE.

Summary:
- Space group: Fm-3m (225)
- Offset from the most stable computed form: 235.7 meV per atom
- Magnetization: 0.00 μB per formula unit
- Formation enthalpy at 0 K: -0.1928 eV per atom

a b c (Å): 4.876 4.876 4.876
angles (deg): 60.00 60.00 60.00
Positions (direct):
Y 0.000 0.000 0.000
Zr 0.250 0.250 0.250
Zr 0.750 0.750 0.750
Ir 0.500 0.500 0.500

[7]
A geometry-optimized YZr3Ir2 structure, computed with PBE.

Summary:
- Space group: C2/m (12)
- Offset from the most stable computed form: 123.0 meV per atom
- Magnetization: 0.00 μB per formula unit
- Formation enthalpy at 0 K: -0.5688 eV per atom

a b c (Å): 8.025 8.025 7.711
angles (deg): 113.31 113.31 34.73
Positions (direct):
Y 0.135 0.135 0.205
Y 0.865 0.865 0.795
Zr 0.063 0.063 0.721
Zr 0.297 0.297 0.010
Zr 0.388 0.388 0.496
Zr 0.612 0.612 0.504
Zr 0.703 0.703 0.990
Zr 0.937 0.937 0.279
Ir 0.218 0.218 0.626
Ir 0.483 0.483 0.151
Ir 0.517 0.517 0.849
Ir 0.782 0.782 0.374

[8]
A geometry-optimized YZr2Ir structure, computed with PBE.

Summary:
- Space group: Pm (6)
- Offset from the most stable computed form: 202.8 meV per atom
- Magnetization: 0.00 μB per formula unit
- Formation enthalpy at 0 K: -0.2257 eV per atom

a b c (Å): 3.276 4.445 6.261
angles (deg): 90.00 102.57 90.00
Positions (direct):
Y 0.000 0.000 0.000
Zr 0.158 0.000 0.542
Zr 0.601 0.500 0.315
Ir 0.530 0.500 0.748

[9]
A geometry-optimized YZr3Ir2 structure, computed with PBE.

Summary:
- Space group: Pmc2_1 (26)
- Offset from the most stable computed form: 0.0 meV per atom
- Magnetization: 0.00 μB per formula unit
- Formation enthalpy at 0 K: -0.6917 eV per atom

a b c (Å): 4.541 8.281 6.884
angles (deg): 90.00 90.00 90.00
Positions (direct):
Y 0.000 0.072 0.000
Y 0.000 0.928 0.500
Zr 0.000 0.336 0.637
Zr 0.000 0.664 0.137
Zr 0.500 0.176 0.341
Zr 0.500 0.424 0.979
Zr 0.500 0.576 0.479
Zr 0.500 0.824 0.841
Ir 0.000 0.345 0.246
Ir 0.000 0.655 0.746
Ir 0.500 0.168 0.733
Ir 0.500 0.832 0.233

[10]
A geometry-optimized YZrIr2 structure, computed with PBE.

Summary:
- Space group: I-42d (122)
- Magnetization: 0.00 μB per formula unit
- Formation enthalpy at 0 K: -0.3221 eV per atom

a b c (Å): 6.029 6.029 6.029
angles (deg): 104.70 104.70 119.51
Positions (direct):
Y 0.000 0.000 0.000
Y 0.750 0.250 0.500
Zr 0.250 0.750 0.500
Zr 0.500 0.500 0.000
Ir 0.144 0.625 0.019
Ir 0.375 0.394 0.519
Ir 0.606 0.125 0.981
Ir 0.875 0.856 0.481

[11]
A geometry-optimized YZr2Ir structure, computed with PBE.

Summary:
- Space group: P4/mmm (123)
- Offset from the most stable computed form: 287.3 meV per atom
- Magnetization: 0.00 μB per formula unit
- Formation enthalpy at 0 K: -0.1412 eV per atom

a b c (Å): 4.886 4.886 3.501
angles (deg): 90.00 90.00 90.00
Positions (direct):
Y 0.000 0.000 0.000
Zr 0.000 0.500 0.500
Zr 0.500 0.000 0.500
Ir 0.500 0.500 0.000

[12]
A geometry-optimized YZr2Ir structure, computed with PBE.

Summary:
- Space group: Immm (71)
- Offset from the most stable computed form: 0.0 meV per atom
- Magnetization: 0.00 μB per formula unit
- Formation enthalpy at 0 K: -0.4285 eV per atom

a b c (Å): 6.026 6.026 6.026
angles (deg): 147.27 130.40 60.70
Positions (direct):
Y 0.000 0.000 0.000
Zr 0.288 0.788 0.500
Zr 0.712 0.212 0.500
Ir 0.500 0.500 0.000

[13]
A geometry-optimized YZr2Ir structure, computed with PBE.

Summary:
- Space group: F-43m (216)
- Offset from the most stable computed form: 259.7 meV per atom
- Magnetization: 0.00 μB per formula unit
- Formation enthalpy at 0 K: -0.1688 eV per atom

a b c (Å): 4.910 4.910 4.910
angles (deg): 60.00 60.00 60.00
Positions (direct):
Y 0.000 0.000 0.000
Zr 0.250 0.250 0.250
Zr 0.500 0.500 0.500
Ir 0.750 0.750 0.750

[14]
A geometry-optimized YZrIr2 structure, computed with PBE.

Summary:
- Space group: P4mm (99)
- Magnetization: 0.00 μB per formula unit
- Formation enthalpy at 0 K: -0.4824 eV per atom

a b c (Å): 3.819 3.819 5.690
angles (deg): 90.00 90.00 90.00
Positions (direct):
Y 0.000 0.000 0.000
Zr 0.500 0.500 0.378
Ir 0.000 0.000 0.496
Ir 0.500 0.500 0.877

[15]
A geometry-optimized YZr2Ir structure, computed with PBE.

Summary:
- Space group: Imm2 (44)
- Offset from the most stable computed form: 86.9 meV per atom
- Magnetization: 0.00 μB per formula unit
- Formation enthalpy at 0 K: -0.3416 eV per atom

a b c (Å): 5.901 5.901 5.901
angles (deg): 145.36 130.39 61.92
Positions (direct):
Y 0.000 0.000 0.000
Zr 0.282 0.782 0.500
Zr 0.569 0.569 0.000
Ir 0.771 0.271 0.500

[16]
A geometry-optimized YZrIr2 structure, computed with PBE.

Summary:
- Space group: Pmm2 (25)
- Magnetization: 0.00 μB per formula unit
- Formation enthalpy at 0 K: -0.7597 eV per atom

a b c (Å): 3.186 4.891 4.891
angles (deg): 90.00 90.00 90.00
Positions (direct):
Y 0.000 0.000 0.000
Zr 0.000 0.500 0.501
Ir 0.500 0.000 0.500
Ir 0.500 0.500 0.002

[17]
A geometry-optimized Yb4Ir structure, computed with PBE.

Summary:
- Space group: Fd-3m (227)
- Magnetization: 0.92 μB per formula unit
- Formation enthalpy at 0 K: 0.0488 eV per atom

a b c (Å): 7.879 7.879 7.879
angles (deg): 60.00 60.00 60.00
Positions (direct):
Yb 0.218 0.761 0.761
Yb 0.239 0.239 0.239
Yb 0.239 0.239 0.782
Yb 0.239 0.782 0.239
Yb 0.761 0.218 0.761
Yb 0.761 0.761 0.218
Yb 0.761 0.761 0.761
Yb 0.782 0.239 0.239
Ir 0.375 0.375 0.375
Ir 0.625 0.625 0.625

[18]
A geometry-optimized YbIr2 structure, computed with PBE.

Summary:
- Space group: Fd-3m (227)
- Magnetization: 0.36 μB per formula unit
- Formation enthalpy at 0 K: -0.6061 eV per atom

a b c (Å): 5.350 5.350 5.350
angles (deg): 60.00 60.00 60.00
Positions (direct):
Yb 0.125 0.125 0.125
Yb 0.875 0.875 0.875
Ir 0.000 0.500 0.500
Ir 0.500 0.000 0.500
Ir 0.500 0.500 0.000
Ir 0.500 0.500 0.500

[19]
A geometry-optimized YbZrIr2 structure, computed with PBE.

Summary:
- Space group: Fm-3m (225)
- Magnetization: 0.23 μB per formula unit
- Formation enthalpy at 0 K: -0.6446 eV per atom

a b c (Å): 4.724 4.724 4.724
angles (deg): 60.00 60.00 60.00
Positions (direct):
Yb 0.000 0.000 0.000
Zr 0.500 0.500 0.500
Ir 0.250 0.250 0.250
Ir 0.750 0.750 0.750

[20]
A geometry-optimized Zn3Ir5 structure, computed with PBE.

Summary:
- Space group: P6_3/mcm (193)
- Magnetization: 0.00 μB per formula unit
- Formation enthalpy at 0 K: 0.2377 eV per atom

a b c (Å): 7.289 7.289 5.110
angles (deg): 90.00 90.00 120.00
Positions (direct):
Zn 0.000 0.409 0.250
Zn 0.000 0.591 0.750
Zn 0.409 0.000 0.250
Zn 0.409 0.409 0.750
Zn 0.591 0.000 0.750
Zn 0.591 0.591 0.250
Ir 0.000 0.213 0.750
Ir 0.000 0.787 0.250
Ir 0.213 0.000 0.750
Ir 0.213 0.213 0.250
Ir 0.333 0.667 0.000
Ir 0.333 0.667 0.500
Ir 0.667 0.333 0.000
Ir 0.667 0.333 0.500
Ir 0.787 0.000 0.250
Ir 0.787 0.787 0.750

[21]
A geometry-optimized ZnIr structure, computed with PBE.

Summary:
- Space group: P6_3/mmc (194)
- Magnetization: 0.00 μB per formula unit
- Formation enthalpy at 0 K: 0.3130 eV per atom

a b c (Å): 4.073 4.073 4.902
angles (deg): 90.00 90.00 120.00
Positions (direct):
Zn 0.333 0.667 0.250
Zn 0.667 0.333 0.750
Ir 0.000 0.000 0.000
Ir 0.000 0.000 0.500

[22]
A geometry-optimized ZnIr3 structure, computed with PBE.

Summary:
- Space group: Pmmn (59)
- Magnetization: 0.00 μB per formula unit
- Formation enthalpy at 0 K: 0.0269 eV per atom

a b c (Å): 4.459 5.522 4.692
angles (deg): 90.00 90.00 90.00
Positions (direct):
Zn 0.250 0.250 0.162
Zn 0.750 0.750 0.838
Ir 0.250 0.503 0.662
Ir 0.250 0.750 0.161
Ir 0.250 0.997 0.662
Ir 0.750 0.003 0.338
Ir 0.750 0.250 0.839
Ir 0.750 0.497 0.338

[23]
A geometry-optimized ZnIr3 structure, computed with PBE.

Summary:
- Space group: Pmmm (47)
- Magnetization: 0.00 μB per formula unit
- Formation enthalpy at 0 K: -0.0084 eV per atom

a b c (Å): 2.761 3.829 5.456
angles (deg): 90.00 90.00 90.00
Positions (direct):
Zn 0.000 0.000 0.000
Ir 0.000 0.000 0.500
Ir 0.500 0.500 0.251
Ir 0.500 0.500 0.749

[24]
A geometry-optimized ZnIr3 structure, computed with PBE.

Summary:
- Space group: R-3m (166)
- Magnetization: 0.00 μB per formula unit
- Formation enthalpy at 0 K: -0.0516 eV per atom

a b c (Å): 8.955 8.955 8.955
angles (deg): 17.66 17.66 17.66
Positions (direct):
Zn 0.000 0.000 0.000
Ir 0.251 0.251 0.251
Ir 0.500 0.500 0.500
Ir 0.749 0.749 0.749

[25]
A geometry-optimized Zn3Ir structure, computed with PBE.

Summary:
- Space group: R-3m (166)
- Magnetization: 0.00 μB per formula unit
- Formation enthalpy at 0 K: -0.0723 eV per atom

a b c (Å): 4.965 4.965 4.965
angles (deg): 116.52 116.52 116.52
Positions (direct):
Zn 0.000 0.500 0.500
Zn 0.500 0.000 0.500
Zn 0.500 0.500 0.000
Ir 0.000 0.000 0.000

[26]
A geometry-optimized ZnIr structure, computed with PBE.

Summary:
- Space group: Pnma (62)
- Magnetization: 0.00 μB per formula unit
- Formation enthalpy at 0 K: -0.0074 eV per atom

a b c (Å): 4.794 4.440 5.400
angles (deg): 90.00 90.00 90.00
Positions (direct):
Zn 0.088 0.250 0.125
Zn 0.412 0.750 0.625
Zn 0.588 0.250 0.375
Zn 0.912 0.750 0.875
Ir 0.072 0.250 0.628
Ir 0.428 0.750 0.128
Ir 0.572 0.250 0.872
Ir 0.928 0.750 0.372

[27]
A geometry-optimized ZnIr structure, computed with PBE.

Summary:
- Space group: P6_3/mmc (194)
- Magnetization: 0.41 μB per formula unit
- Formation enthalpy at 0 K: 0.8988 eV per atom

a b c (Å): 4.275 4.275 4.970
angles (deg): 90.00 90.00 120.00
Positions (direct):
Zn 0.333 0.667 0.250
Zn 0.667 0.333 0.750
Ir 0.333 0.667 0.750
Ir 0.667 0.333 0.250